A geometry-optimized La4AgTe structure, computed with PBE-GGA.

a b c (Å): 9.109 9.109 9.109
angles (deg): 90.00 90.00 90.00
Space group F-43m (No. 216)
One atom of each set of equivalent atoms:
La 0.124 0.124 0.124
Ag 0.000 0.000 0.500
Te 0.250 0.250 0.750

## Properties
Magnetization (μB per formula unit): 0.00
Calculated total energy (eV for the cell shown): -101.85
Formation energy (no corrections) (kJ per mole of atoms): 3.9